# MgFeTc2

An optimized crystal structure of MgFeTc2 (PBE, the Alexandria database).

Its magnetic moment is 2.2 μB per cell. The crystal system is monoclinic. As for the space-group type: Pm, No. 6. For the total DFT energy (no corrections), the calculation gives -7.482 eV/atom. The formation enthalpy at 0 K comes out at 83 kJ/mol of formula units.

```
data_MgFeTc2
_cell_length_a 2.629
_cell_length_b 4.357
_cell_length_c 5.134
_cell_angle_alpha 90.00
_cell_angle_beta 99.66
_cell_angle_gamma 90.00
_symmetry_space_group_name_H-M 'P 1'
_symmetry_Int_Tables_number 1
loop_
_symmetry_equiv_pos_as_xyz
'x,y,z'
loop_
_atom_site_label
_atom_site_type_symbol
_atom_site_fract_x
_atom_site_fract_y
_atom_site_fract_z
_atom_site_occupancy
Mg1 Mg 0.000 0.000 0.000 1
Fe1 Fe 0.267 0.500 0.766 1
Tc1 Tc 0.502 0.000 0.503 1
Tc2 Tc 0.706 0.500 0.273 1
```